VASP calculation (PBE-GGA) on a relaxed HgP2SI crystal.

a = 5.2916 Å, b = 5.2916 Å, c = 5.0699 Å
α = 90.00°, β = 90.00°, γ = 90.00°
Last column: nearest neighbours and their distance in Å.
Atoms (fractional coordinates):
Hg 0.5000 0.5000 0.5000  8 P 3.66, 4 S 3.74
I 0.0000 0.0000 0.0000  2 S 2.53, 4 P 2.65
S 0.0000 0.0000 0.5000  2 I 2.53
P 0.0000 0.5000 0.0000  2 I 2.65
P 0.5000 0.0000 0.0000  2 I 2.65

Properties
total energy: -10.249 eV for the cell shown
formation energy without anion corrections: 1.310 eV/atom
ΔE to the lowest computed polymorph: 0.494 eV/f.u.
D(E_F): 3.8 states/eV/cell
V: 141.96 Å³/f.u.
crystal system: tetragonal